1.
Compound: NiAg4Te
Source: Alexandria via LeMat-Bulk
Functional: GGA-PBE
Structure: optimized geometry

Summary:
Spin magnetization = 0.0 μB per cell
Calculated total energy = -3.01 eV/atom

abc: 7.779 7.779 7.779
angles: 90.00 90.00 90.00
Space group F-43m (No. 216)
Symmetry-distinct sites (fractional):
Ni 0.000 0.000 0.000
Ag 0.126 0.126 0.374
Te 0.250 0.250 0.750

***

2.
Compound: LiPd2Pb2
Source: Alexandria via LeMat-Bulk
Functional: GGA-PBE
Structure: optimized geometry

Summary:
Spin magnetization = 0.0 μB per cell
Calculated total energy = -4.09 eV/atom
Energy above the lowest structure with this stoichiometry = 0.176 eV per atom

abc: 5.384 5.384 7.958
angles: 90.00 90.00 90.00
Space group I4/mmm (No. 139)
Symmetry-distinct sites (fractional):
Li 0.000 0.000 0.000
Pd 0.000 0.000 0.334
Pb 0.000 0.500 0.250

***

3.
Compound: LiPaBi4
Source: Alexandria via LeMat-Bulk
Functional: GGA-PBE
Structure: optimized geometry

Summary:
Spin magnetization = 0.0 μB per cell
Calculated total energy = -4.50 eV/atom

abc: 8.800 5.612 7.895
angles: 90.00 104.98 90.00
Space group P2_1/c (No. 14)
Symmetry-distinct sites (fractional):
Li 0.000 0.000 0.000
Pa 0.500 0.000 0.500
Bi 0.111 0.057 0.381
Bi 0.349 0.505 0.326

***

4.
Compound: SrZn4Pt
Source: Alexandria via LeMat-Bulk
Functional: GGA-PBE
Structure: optimized geometry

Summary:
Spin magnetization = 0.0 μB per cell
Calculated total energy = -2.42 eV/atom
Energy above the lowest structure with this stoichiometry = 0.033 eV per atom

abc: 5.277 8.630 5.978
angles: 90.00 92.37 90.00
Space group C2/m (No. 12)
Symmetry-distinct sites (fractional):
Sr 0.000 0.000 0.000
Zn 0.011 0.500 0.284
Zn 0.250 0.250 0.500
Pt 0.000 0.000 0.500